(1)
Below is ZrTa2P at its PBEsol-relaxed geometry, with properties calculated at the SCAN level.

abc: 3.535 4.267 4.466
angles: 90.00 90.00 90.00
Space group Pmmm (No. 47)
Inequivalent atoms, fractional coordinates:
1 Zr 0.000 0.000 0.000 x1
2 Ta 0.000 0.500 0.500 x1
3 Ta 0.500 0.000 0.500 x1
4 P 0.500 0.500 0.000 x1

***

(2)
Below is ZrTa2P at its PBEsol-relaxed geometry, with properties calculated at the SCAN level.

abc: 3.369 3.369 6.001
angles: 90.00 90.00 90.00
Space group P4/mmm (No. 123)
Inequivalent atoms, fractional coordinates:
1 Zr 0.000 0.000 0.000 x1
2 Ta 0.500 0.500 0.284 x2
3 P 0.000 0.000 0.500 x1

***

(3)
Below is ZrTaP2 at its PBEsol-relaxed geometry, with properties calculated at the SCAN level.

abc: 3.616 4.713 8.616
angles: 90.00 90.00 90.00
Space group Cmm2 (No. 35)
Inequivalent atoms, fractional coordinates:
1 Zr 0.000 0.000 0.000 x2
2 Ta 0.000 0.500 0.724 x2
3 P 0.000 0.000 0.531 x2
4 P 0.000 0.500 0.209 x2

***

(4)
Below is TbP at its PBEsol-relaxed geometry, with properties calculated at the SCAN level.

abc: 5.621 5.621 5.621
angles: 90.00 90.00 90.00
Space group Fm-3m (No. 225)
Inequivalent atoms, fractional coordinates:
1 Tb 0.000 0.000 0.000 x4
2 P 0.000 0.000 0.500 x4

***

| no. | E_tot (eV/atom) | energy of formation from the pure elements (eV per atom) |
| --- | --- | --- |
| 1 | -43.87 | -0.306 |
| 2 | -43.86 | -0.289 |
| 3 | -29.69 | -0.170 |
| 4 | -30.38 | -1.804 |